Entry from Alexandria via LeMat-Bulk: a relaxed structure of MgHgMo4 (PBE-GGA).

Values from the calculation:
**Fermi-level density of states**: 1.536 states/eV per atom
**Symmetry**: F-43m (216)
**Formation enthalpy at 0 K**: 0.4946 eV/atom
**Electronic total energy**: -7.04 eV/atom

Unit cell a=5.3347 b=5.3347 c=5.3347 alpha=60.00 beta=60.00 gamma=60.00
Last column: nearest neighbours and their distance in Å.
Fractional coordinates of all 6 atoms:
Mo1 0.3751 0.8747 0.3751  6 Mo 2.67
Mo2 0.3751 0.3751 0.3751  6 Mo 2.67
Mo3 0.8747 0.3751 0.3751  6 Mo 2.67
Mo4 0.3751 0.3751 0.8747  6 Mo 2.67
Mg1 0.0000 0.0000 0.0000  12 Mo 3.13, 4 Hg 3.27
Hg1 0.7500 0.7500 0.7500  12 Mo 3.13, 4 Mg 3.27